[1]
! GaBiSCl2, relaxed, DFT PBE; values from VASP
! space group	P4/mmm
! E_form (uncorrected)	-0.400	eV/atom
! polymorph energy (0 for the lowest one)	0	meV/atom
&SYSTEM
  ibrav = 0, nat = 5, ntyp = 4
/
ATOMIC_SPECIES
S 32.06 S.upf
Bi 208.98 Bi.upf
Ga 69.72 Ga.upf
Cl 35.45 Cl.upf
CELL_PARAMETERS angstrom
-1.883 2.759 4.338
1.639 -4.056 3.291
4.781 2.385 0.559
ATOMIC_POSITIONS crystal
S 0.000 0.000 0.500
Bi 0.000 0.000 0.000
Ga 0.500 0.500 0.500
Cl 0.000 0.500 0.000
Cl 0.500 0.000 0.000

[2]
! Ac12Co5Hg2, relaxed, DFT PBE; values from VASP
! space group	C2/m
! DFT formation energy	-0.0395	eV/atom
&SYSTEM
  ibrav = 0, nat = 19, ntyp = 3
/
ATOMIC_SPECIES
Ac 227.00 Ac.upf
Co 58.93 Co.upf
Hg 200.59 Hg.upf
CELL_PARAMETERS angstrom
-5.209 1.514 8.770
4.293 -5.740 3.541
6.193 2.884 6.192
ATOMIC_POSITIONS crystal
Ac 0.787 0.090 0.819
Ac 0.161 0.952 0.594
Ac 0.161 0.454 0.594
Ac 0.475 0.878 0.751
Ac 0.475 0.371 0.751
Ac 0.179 0.426 0.147
Ac 0.821 0.574 0.853
Ac 0.525 0.122 0.249
Ac 0.525 0.629 0.249
Ac 0.839 0.048 0.406
Ac 0.839 0.546 0.406
Ac 0.213 0.910 0.181
Co 0.386 0.750 0.500
Co 0.991 0.740 0.519
Co 0.500 0.000 0.000
Co 0.009 0.260 0.481
Co 0.614 0.250 0.500
Hg 0.000 0.210 0.000
Hg 0.000 0.790 0.000

[3]
! YbScRh2, relaxed, DFT PBE; values from VASP
! space group	Fm-3m
! DFT formation energy	-0.7569	eV/atom
&SYSTEM
  ibrav = 0, nat = 4, ntyp = 3
/
ATOMIC_SPECIES
Sc 44.96 Sc.upf
Yb 173.04 Yb.upf
Rh 102.91 Rh.upf
CELL_PARAMETERS angstrom
-0.617 -1.759 -4.295
-1.260 -4.477 -0.537
-4.308 -1.055 -1.501
ATOMIC_POSITIONS crystal
Sc 0.500 0.500 0.500
Yb 0.000 0.000 0.000
Rh 0.250 0.250 0.250
Rh 0.750 0.750 0.750

[4]
! CaNi2BiPd, relaxed, DFT PBE; values from VASP
! space group	P4/mmm
! DFT formation energy	0.4538	eV/atom
&SYSTEM
  ibrav = 0, nat = 5, ntyp = 4
/
ATOMIC_SPECIES
Ni 58.69 Ni.upf
Ca 40.08 Ca.upf
Bi 208.98 Bi.upf
Pd 106.42 Pd.upf
CELL_PARAMETERS angstrom
4.764 0.000 0.000
0.000 5.063 0.000
0.000 0.000 4.764
ATOMIC_POSITIONS crystal
Ni 0.000 0.000 0.500
Ni 0.500 0.000 0.000
Ca 0.000 0.500 0.000
Bi 0.500 0.500 0.500
Pd 0.000 0.000 0.000

[5]
! SbPbS2, relaxed, DFT PBE; values from VASP
! space group	Fm-3m
! E_form (uncorrected)	-0.023	eV/atom
&SYSTEM
  ibrav = 0, nat = 4, ntyp = 3
/
ATOMIC_SPECIES
Pb 207.20 Pb.upf
Sb 121.76 Sb.upf
S 32.06 S.upf
CELL_PARAMETERS angstrom
-1.354 1.428 4.627
-4.629 1.781 0.828
-3.318 -2.736 2.606
ATOMIC_POSITIONS crystal
Pb 0.500 0.500 0.500
Sb 0.000 0.000 0.000
S 0.250 0.250 0.250
S 0.750 0.750 0.750

[6]
! Ni2IrCl6, relaxed, DFT PBE; values from VASP
! space group	C2/m
! E_form (uncorrected)	-0.434	eV/atom
&SYSTEM
  ibrav = 0, nat = 9, ntyp = 3
/
ATOMIC_SPECIES
Ni 58.69 Ni.upf
Ir 192.22 Ir.upf
Cl 35.45 Cl.upf
CELL_PARAMETERS angstrom
3.480 0.000 0.000
-1.740 6.102 -2.486
0.000 0.230 9.935
ATOMIC_POSITIONS crystal
Ni 0.692 0.385 0.855
Ni 0.308 0.615 0.145
Ir 0.000 0.000 0.500
Cl 0.319 0.637 0.906
Cl 0.681 0.363 0.094
Cl 0.940 0.880 0.244
Cl 0.623 0.246 0.508
Cl 0.060 0.120 0.756
Cl 0.377 0.754 0.492

[7]
! KCaFeP2, relaxed, DFT PBE; values from VASP
! space group	P4/mmm
! DFT formation energy	1.3397	eV/atom
&SYSTEM
  ibrav = 0, nat = 5, ntyp = 4
/
ATOMIC_SPECIES
K 39.10 K.upf
P 30.97 P.upf
Ca 40.08 Ca.upf
Fe 55.84 Fe.upf
CELL_PARAMETERS angstrom
-1.979 1.082 -4.882
4.313 -2.289 -2.255
-2.199 -4.121 -0.022
ATOMIC_POSITIONS crystal
K 0.000 0.000 0.000
P 0.000 0.500 0.000
P 0.500 0.000 0.000
Ca 0.500 0.500 0.500
Fe 0.000 0.000 0.500

[8]
! La12TbHo7, relaxed, DFT PBE; values from VASP
! space group	R-3m
! DFT formation energy	0.1948	eV/atom
&SYSTEM
  ibrav = 0, nat = 20, ntyp = 3
/
ATOMIC_SPECIES
La 138.91 La.upf
Tb 158.93 Tb.upf
Ho 164.93 Ho.upf
CELL_PARAMETERS angstrom
6.233 0.000 -1.283
-3.218 9.798 -5.113
0.203 0.000 11.509
ATOMIC_POSITIONS crystal
La 0.093 0.592 0.184
La 0.091 0.184 0.592
La 0.572 0.646 0.000
La 0.429 0.000 0.355
La 0.499 0.408 0.592
La 0.074 0.645 0.646
La 0.926 0.355 0.354
La 0.501 0.592 0.408
La 0.571 0.000 0.645
La 0.428 0.354 0.000
La 0.909 0.816 0.408
La 0.907 0.408 0.816
Tb 0.000 0.000 0.000
Ho 0.115 0.753 0.000
Ho 0.886 0.000 0.248
Ho 0.638 0.752 0.753
Ho 0.500 0.000 0.000
Ho 0.362 0.248 0.247
Ho 0.114 0.000 0.752
Ho 0.885 0.247 0.000

[9]
! LiCuGeIr, relaxed, DFT PBE; values from VASP
! space group	I-4m2
! DFT formation energy	-0.2499	eV/atom
! polymorph energy (0 for the lowest one)	35	meV/atom
&SYSTEM
  ibrav = 0, nat = 4, ntyp = 4
/
ATOMIC_SPECIES
Li 6.94 Li.upf
Cu 63.55 Cu.upf
Ge 72.64 Ge.upf
Ir 192.22 Ir.upf
CELL_PARAMETERS angstrom
-3.813 -0.174 0.012
0.171 -3.664 1.059
1.787 2.914 2.913
ATOMIC_POSITIONS crystal
Li 0.000 0.000 0.000
Cu 0.750 0.250 0.500
Ge 0.500 0.500 0.000
Ir 0.250 0.750 0.500

[10]
! SrSmCu10, relaxed, DFT PBE; values from VASP
! space group	Pmmm
! DFT formation energy	-0.1222	eV/atom
&SYSTEM
  ibrav = 0, nat = 12, ntyp = 3
/
ATOMIC_SPECIES
Sr 87.62 Sr.upf
Sm 150.36 Sm.upf
Cu 63.55 Cu.upf
CELL_PARAMETERS angstrom
-1.321 0.443 -3.786
-3.268 -4.037 0.668
-6.355 5.621 2.874
ATOMIC_POSITIONS crystal
Sr 0.000 0.500 0.500
Sm 0.000 0.000 0.000
Cu 0.000 0.000 0.328
Cu 0.000 0.500 0.838
Cu 0.000 0.500 0.162
Cu 0.000 0.000 0.672
Cu 0.500 0.000 0.500
Cu 0.500 0.500 0.000
Cu 0.500 0.245 0.242
Cu 0.500 0.755 0.758
Cu 0.500 0.755 0.242
Cu 0.500 0.245 0.758

[11]
! Pr2ZrTl3Te6, relaxed, DFT PBE; values from VASP
! space group	C2/m
! E_form (uncorrected)	-0.904	eV/atom
&SYSTEM
  ibrav = 0, nat = 12, ntyp = 4
/
ATOMIC_SPECIES
Pr 140.91 Pr.upf
Zr 91.22 Zr.upf
Tl 204.38 Tl.upf
Te 127.60 Te.upf
CELL_PARAMETERS angstrom
7.673 0.005 0.001
-3.831 6.649 0.001
-1.280 -2.217 8.255
ATOMIC_POSITIONS crystal
Pr 0.335 0.665 0.000
Pr 0.665 0.335 0.000
Zr 0.000 0.000 0.000
Tl 0.174 0.826 0.500
Tl 0.826 0.174 0.500
Tl 0.500 0.500 0.500
Te 0.928 0.617 0.784
Te 0.764 0.764 0.223
Te 0.072 0.383 0.216
Te 0.617 0.928 0.784
Te 0.236 0.236 0.777
Te 0.383 0.072 0.216

[12]
! Tc2PBr, relaxed, DFT PBE; values from VASP
! space group	P4/mmm
! E_form (uncorrected)	0.475	eV/atom
! polymorph energy (0 for the lowest one)	537	meV/atom
&SYSTEM
  ibrav = 0, nat = 4, ntyp = 3
/
ATOMIC_SPECIES
Br 79.90 Br.upf
P 30.97 P.upf
Tc 98.00 Tc.upf
CELL_PARAMETERS angstrom
4.342 0.000 0.000
0.000 4.342 0.000
0.000 0.000 3.068
ATOMIC_POSITIONS crystal
Br 0.500 0.000 0.500
P 0.000 0.500 0.500
Tc 0.000 0.000 0.000
Tc 0.500 0.500 0.000

Ordered V results: 32.20 34.30 18.14 22.98 22.47 23.66 27.02 35.27 13.07 15.77 35.11 14.46; unit A^3/atom.